Computed, not measured: CaMg30MnO32 after structural relaxation at the GGA+U level of DFT.

ρ in g cm⁻³: 3.5
Volume in Å³/atom: 9.9
Magnetization in μB per formula unit: 5.0
Energy in eV for the cell shown: -386.53

```
data_CaMg30MnO32
_chemical_formula_sum 'Ca1 Mg30 Mn1 O32'
_space_group_name_H-M_alt 'P 4/m m m'
_space_group_IT_number 123
_space_group_name_Hall '-P 4 2'
_cell_length_a 8.5735
_cell_length_b 8.5735
_cell_length_c 8.5776
_cell_angle_alpha 90.00
_cell_angle_beta 90.00
_cell_angle_gamma 90.00
loop_
_atom_site_label
_atom_site_type_symbol
_atom_site_fract_x
_atom_site_fract_y
_atom_site_fract_z
_atom_site_occupancy
Ca1 Ca 0.0000 0.0000 0.0000 1
Mg1 Mg 0.0000 0.0000 0.5000 1
Mg2 Mg 0.0000 0.2529 0.2530 1
Mg3 Mg 0.0000 0.5000 0.0000 1
Mg4 Mg 0.0000 0.5000 0.5000 1
Mg5 Mg 0.2494 0.5000 0.2514 1
Mg6 Mg 0.2502 0.2502 0.5000 1
Mg7 Mg 0.2519 0.2519 0.0000 1
Mg8 Mg 0.5000 0.5000 0.5000 1
Mn1 Mn 0.5000 0.5000 0.0000 1
O1 O 0.0000 0.0000 0.2624 1
O2 O 0.0000 0.2519 0.5000 1
O3 O 0.0000 0.2617 0.0000 1
O4 O 0.0000 0.5000 0.2529 1
O5 O 0.2458 0.5000 0.0000 1
O6 O 0.2501 0.2501 0.2497 1
O7 O 0.2496 0.5000 0.5000 1
O8 O 0.5000 0.5000 0.2575 1
```